Below is a relaxed Zn4CrAg crystal, with properties calculated at the PBE level.

Lattice parameters (Å, degrees): 5.0726 5.0726 5.0726 60.00 60.00 60.00
Sites, in units of the cell vectors:
Ag 0.7500 0.7500 0.7500
Zn 0.3750 0.3750 0.8751
Zn 0.3750 0.3750 0.3750
Zn 0.8751 0.3750 0.3750
Zn 0.3750 0.8751 0.3750
Cr 0.0000 0.0000 0.0000

Output
For the formation energy, the calculation gives 0.092 eV/atom. As for the space-group type: F-43m, No. 216. The volume is 92.3 Å³ per cell.